Entry 1:
This record from Alexandria via LeMat-Bulk describes a geometry-optimized Li2TcPbCl8 structure. The functional is GGA-PBE.

a b c (Å): 6.4433 6.8300 8.2271
angles (deg): 68.40 88.09 79.59
Last column: nearest neighbours and their distance in Å.
Space group P-1 (No. 2)
Inequivalent atoms, fractional coordinates:
Li 0.0291 0.1626 0.3095 [2 per cell]  4 Cl 2.36-2.53
Tc 0.5000 0.5000 0.0000 [1 per cell]  6 Cl 2.36-2.41
Pb 0.5000 0.5000 0.5000 [1 per cell]  6 Cl 2.85-3.00
Cl 0.1009 0.7811 0.4371 [2 per cell]  2 Li 2.36-2.38
Cl 0.1720 0.7338 0.9585 [2 per cell]  1 Tc 2.36, 1 Li 2.40
Cl 0.3640 0.3021 0.8577 [2 per cell]  1 Tc 2.37
Cl 0.3889 0.2694 0.2764 [2 per cell]  1 Tc 2.41, 1 Li 2.53

Entry 2:
This record from Alexandria via LeMat-Bulk describes a geometry-optimized Li2ThPbCl8 structure. The functional is GGA-PBE.

a b c (Å): 6.6819 6.9763 8.7323
angles (deg): 72.62 89.88 79.18
Last column: nearest neighbours and their distance in Å.
Space group P-1 (No. 2)
Inequivalent atoms, fractional coordinates:
Li 0.0413 0.1367 0.3283 [2 per cell]  4 Cl 2.36-2.51
Th 0.5000 0.5000 0.0000 [1 per cell]  6 Cl 2.66-2.76
Pb 0.5000 0.5000 0.5000 [1 per cell]  6 Cl 2.85-3.02
Cl 0.1172 0.7771 0.4532 [2 per cell]  2 Li 2.36-2.37
Cl 0.1382 0.7534 0.9293 [2 per cell]  1 Li 2.39, 1 Th 2.66
Cl 0.3626 0.2782 0.2837 [2 per cell]  1 Li 2.51, 1 Th 2.76
Cl 0.3857 0.2802 0.8210 [2 per cell]  1 Th 2.69, 1 Pb 2.94

Entry 3:
This record from Alexandria via LeMat-Bulk describes a geometry-optimized Li2TiPbCl8 structure. The functional is GGA-PBE.

a b c (Å): 6.4464 6.8359 8.1834
angles (deg): 69.70 88.70 79.57
Last column: nearest neighbours and their distance in Å.
Space group P-1 (No. 2)
Inequivalent atoms, fractional coordinates:
Li 0.0352 0.1572 0.3135 [2 per cell]  4 Cl 2.35-2.50
Ti 0.5000 0.5000 0.0000 [1 per cell]  6 Cl 2.33-2.43
Pb 0.5000 0.5000 0.5000 [1 per cell]  6 Cl 2.85-2.97
Cl 0.1013 0.7802 0.4361 [2 per cell]  2 Li 2.35-2.38
Cl 0.1753 0.7287 0.9535 [2 per cell]  1 Ti 2.33, 1 Li 2.41
Cl 0.3710 0.3014 0.8544 [2 per cell]  1 Ti 2.35
Cl 0.3840 0.2745 0.2738 [2 per cell]  1 Ti 2.43, 1 Li 2.50

Entry 4:
This record from Alexandria via LeMat-Bulk describes a geometry-optimized LiTlPb2Cl6 structure. The functional is GGA-PBE.

a b c (Å): 7.3355 7.3355 19.8219
angles (deg): 90.00 90.00 120.00
Last column: nearest neighbours and their distance in Å.
Space group R3 (No. 146, hexagonal axes)
Inequivalent atoms, fractional coordinates:
Li 0.0000 0.0000 0.0000 [3 per cell]  6 Cl 2.68-2.72
Tl 0.0000 0.0000 0.5214 [3 per cell]  6 Cl 3.10-3.38
Pb 0.0000 0.0000 0.3187 [3 per cell]  6 Cl 2.87-2.95
Pb 0.0000 0.0000 0.8051 [3 per cell]  6 Cl 2.91-2.95
Cl 0.0081 0.3542 0.7362 [9 per cell]  1 Li 2.72, 2 Pb 2.91-2.95
Cl 0.0373 0.6269 0.5792 [9 per cell]  1 Li 2.68, 2 Pb 2.87-2.95

Entry 5:
This record from Alexandria via LeMat-Bulk describes a geometry-optimized LiTl2PbCl5 structure. The functional is GGA-PBE.

a b c (Å): 4.3064 18.2807 13.9071
angles (deg): 90.00 90.00 90.00
Last column: nearest neighbours and their distance in Å.
Space group Cmc2_1 (No. 36)
Inequivalent atoms, fractional coordinates:
Li 0.0000 0.0489 0.0000 [4 per cell]  4 Cl 2.34-2.46
Tl 0.0000 0.3713 0.9045 [4 per cell]  6 Cl 3.19-3.42
Tl 0.0000 0.4082 0.2420 [4 per cell]  5 Cl 3.18-3.29
Pb 0.0000 0.3006 0.6071 [4 per cell]  6 Cl 2.83-3.01
Cl 0.0000 0.0072 0.3487 [4 per cell]  1 Li 2.34
Cl 0.0000 0.1472 0.5786 [4 per cell]  1 Pb 2.83
Cl 0.0000 0.1808 0.9658 [4 per cell]  1 Li 2.46
Cl 0.0000 0.2128 0.2487 [4 per cell]  2 Pb 2.93
Cl 0.0000 0.4643 0.5811 [4 per cell]  2 Li 2.44

Entry 6:
This record from Alexandria via LeMat-Bulk describes a geometry-optimized LiTlPbCl6 structure. The functional is GGA-PBE.

a b c (Å): 6.7155 6.7155 12.6276
angles (deg): 90.00 90.00 120.00
Last column: nearest neighbours and their distance in Å.
Space group P-31c (No. 163)
Inequivalent atoms, fractional coordinates:
Li 0.3333 0.6667 0.2500 [2 per cell]  6 Cl 2.60
Tl 0.3333 0.6667 0.7500 [2 per cell]  6 Cl 2.64
Pb 0.0000 0.0000 0.0000 [2 per cell]  6 Cl 2.93
Cl 0.0050 0.3608 0.1329 [12 per cell]  1 Li 2.60, 1 Tl 2.64

Entry 7:
This record from Alexandria via LeMat-Bulk describes a geometry-optimized Li2TlPbCl6 structure. The functional is GGA-PBE.

a b c (Å): 6.9323 6.9323 18.3982
angles (deg): 90.00 90.00 120.00
Last column: nearest neighbours and their distance in Å.
Space group R3 (No. 146, hexagonal axes)
Inequivalent atoms, fractional coordinates:
Li 0.0000 0.0000 0.0000 [3 per cell]  6 Cl 2.58-2.69
Li 0.0000 0.0000 0.4932 [3 per cell]  6 Cl 2.51-2.79
Tl 0.0000 0.0000 0.2020 [3 per cell]  6 Cl 2.88-2.91
Pb 0.0000 0.0000 0.7011 [3 per cell]  6 Cl 2.90-2.93
Cl 0.0076 0.3901 0.2592 [9 per cell]  2 Li 2.58-2.79, 1 Tl 2.88
Cl 0.0077 0.6103 0.7585 [9 per cell]  2 Li 2.51-2.69

Entry 8:
This record from Alexandria via LeMat-Bulk describes a geometry-optimized Li3Tl2PbCl8 structure. The functional is GGA-PBE.

a b c (Å): 7.9663 7.9663 22.1873
angles (deg): 90.00 90.00 120.00
Last column: nearest neighbours and their distance in Å.
Space group R3m (No. 160, hexagonal axes)
Inequivalent atoms, fractional coordinates:
Li 0.1828 0.3655 0.0000 [9 per cell]  5 Cl 2.49-2.64
Tl 0.0000 0.0000 0.1584 [3 per cell]  6 Cl 3.17-3.20
Tl 0.0000 0.0000 0.7503 [3 per cell]  4 Cl 2.62-2.76
Pb 0.0000 0.0000 0.5399 [3 per cell]  3 Cl 2.72
Cl 0.0000 0.0000 0.3953 [3 per cell]  3 Li 2.49
Cl 0.0000 0.0000 0.8685 [3 per cell]  1 Tl 2.62
Cl 0.0162 0.5081 0.9300 [9 per cell]  2 Li 2.64, 1 Pb 2.72
Cl 0.1908 0.3816 0.7130 [9 per cell]  2 Li 2.51, 1 Tl 2.76

The records above yield ρ values of 3.02; 3.21; 2.76; 4.52; 4.85; 4.25; 4.15; 3.76 g cm⁻³, respectively.
The records above yield raw formation energy values of -1.16; -1.78; -1.51; -1.23; -1.24; -1.08; -1.24; -1.24 eV/atom, respectively.